(1)
## BaAl2Ni (PBE)

Data for BaAl2Ni after structural relaxation.

- calculated formation energy (eV/atom) = 0.485
- ρ (g/cm³) = 4.59
- energy (eV/atom) = -3.313

Geometry as CIF:
```
data_BaAl2Ni
_chemical_formula_sum 'Ba2 Al4 Ni2'
_cell_length_a 5.600
_cell_length_b 10.631
_cell_length_c 3.041
_cell_angle_alpha 90.00
_cell_angle_beta 90.00
_cell_angle_gamma 90.00
_symmetry_space_group_name_H-M 'C m m m'
_symmetry_Int_Tables_number 65
_symmetry_space_group_name_Hall '-C 2 2'
loop_
_atom_site_label
_atom_site_type_symbol
_atom_site_fract_x
_atom_site_fract_y
_atom_site_fract_z
Ba1 Ba 0.000 0.000 0.000
Al1 Al 0.250 0.250 0.500
Ni1 Ni 0.000 0.500 0.000
```

***

(2)
## Ba2Al2Ni (PBE)

Data for Ba2Al2Ni after structural relaxation.

- calculated formation energy (eV/atom) = 0.106
- ρ (g/cm³) = 4.90
- energy (eV/atom) = -3.316

Geometry as CIF:
```
data_Ba2Al2Ni
_chemical_formula_sum 'Ba4 Al4 Ni2'
_cell_length_a 6.701
_cell_length_b 6.701
_cell_length_c 5.842
_cell_angle_alpha 90.00
_cell_angle_beta 90.00
_cell_angle_gamma 90.00
_symmetry_space_group_name_H-M 'P 4/m b m'
_symmetry_Int_Tables_number 127
_symmetry_space_group_name_Hall '-P 4 2ab'
loop_
_atom_site_label
_atom_site_type_symbol
_atom_site_fract_x
_atom_site_fract_y
_atom_site_fract_z
Ba1 Ba 0.179 0.321 0.000
Al1 Al 0.152 0.652 0.500
Ni1 Ni 0.000 0.000 0.500
```

***

(3)
## BaAlNi2 (PBE)

Data for BaAlNi2 after structural relaxation.

- calculated formation energy (eV/atom) = -0.019
- ρ (g/cm³) = 4.84
- energy (eV/atom) = -4.326

Geometry as CIF:
```
data_BaAlNi2
_chemical_formula_sum 'Ba4 Al4 Ni8'
_cell_length_a 4.918
_cell_length_b 4.918
_cell_length_c 16.002
_cell_angle_alpha 90.00
_cell_angle_beta 90.00
_cell_angle_gamma 90.00
_symmetry_space_group_name_H-M 'I 41/a m d'
_symmetry_Int_Tables_number 141
loop_
_symmetry_equiv_pos_as_xyz
'x,y,z'
'-x,-y,-z'
'-y+1/4,x+3/4,z+1/4'
'y+1/4,-x+3/4,-z+1/4'
'-x+1/2,-y,z+1/2'
'x+1/2,y,-z+1/2'
'y+1/4,-x+1/4,z+3/4'
'-y+1/4,x+1/4,-z+3/4'
'x,-y,-z'
'-x,y,z'
'-y+1/4,-x+1/4,-z+3/4'
'y+1/4,x+1/4,z+3/4'
'-x+1/2,y,-z+1/2'
'x+1/2,-y,z+1/2'
'y+1/4,x+3/4,-z+1/4'
'-y+1/4,-x+3/4,z+1/4'
'x+1/2,y+1/2,z+1/2'
'-x+1/2,-y+1/2,-z+1/2'
'-y+3/4,x+1/4,z+3/4'
'y+3/4,-x+1/4,-z+3/4'
'-x,-y+1/2,z'
'x,y+1/2,-z'
'y+3/4,-x+3/4,z+1/4'
'-y+3/4,x+3/4,-z+1/4'
'x+1/2,-y+1/2,-z+1/2'
'-x+1/2,y+1/2,z+1/2'
'-y+3/4,-x+3/4,-z+1/4'
'y+3/4,x+3/4,z+1/4'
'-x,y+1/2,-z'
'x,-y+1/2,z'
'y+3/4,x+1/4,-z+3/4'
'-y+3/4,-x+1/4,z+3/4'
loop_
_atom_site_label
_atom_site_type_symbol
_atom_site_fract_x
_atom_site_fract_y
_atom_site_fract_z
Ba1 Ba 0.000 0.250 0.375
Al1 Al 0.000 0.250 0.875
Ni1 Ni 0.000 0.000 0.000
```

***

(4)
## BaAlNi2 (PBE)

Data for BaAlNi2 after structural relaxation.

- calculated formation energy (eV/atom) = 0.577
- ρ (g/cm³) = 5.75
- energy (eV/atom) = -3.730

Geometry as CIF:
```
data_BaAlNi2
_chemical_formula_sum 'Ba4 Al4 Ni8'
_cell_length_a 6.878
_cell_length_b 6.878
_cell_length_c 6.878
_cell_angle_alpha 90.00
_cell_angle_beta 90.00
_cell_angle_gamma 90.00
_symmetry_space_group_name_H-M 'F -4 3 m'
_symmetry_Int_Tables_number 216
_symmetry_space_group_name_Hall 'F -4 2 3'
loop_
_atom_site_label
_atom_site_type_symbol
_atom_site_fract_x
_atom_site_fract_y
_atom_site_fract_z
Ba1 Ba 0.000 0.000 0.000
Al1 Al 0.250 0.250 0.250
Ni1 Ni 0.000 0.000 0.500
Ni2 Ni 0.250 0.250 0.750
```

***

(5)
## BaAlNi3 (PBE)

Data for BaAlNi3 after structural relaxation.

- calculated formation energy (eV/atom) = 0.231
- ρ (g/cm³) = 5.75
- energy (eV/atom) = -4.371
- energy above the lowest structure with this stoichiometry (eV per atom) = 0.0000

Geometry as CIF:
```
data_BaAlNi3
_chemical_formula_sum 'Ba1 Al1 Ni3'
_cell_length_a 4.616
_cell_length_b 4.616
_cell_length_c 4.616
_cell_angle_alpha 90.00
_cell_angle_beta 90.00
_cell_angle_gamma 90.00
_symmetry_space_group_name_H-M 'P m -3 m'
_symmetry_Int_Tables_number 221
_symmetry_space_group_name_Hall '-P 4 2 3'
loop_
_atom_site_label
_atom_site_type_symbol
_atom_site_fract_x
_atom_site_fract_y
_atom_site_fract_z
Ba1 Ba 0.000 0.000 0.000
Al1 Al 0.500 0.500 0.500
Ni1 Ni 0.000 0.500 0.500
```

***

(6)
## BaAl2Ni (PBE)

Data for BaAl2Ni after structural relaxation.

- calculated formation energy (eV/atom) = -0.328
- ρ (g/cm³) = 4.34
- energy (eV/atom) = -4.125

Geometry as CIF:
```
data_BaAl2Ni
_chemical_formula_sum 'Ba2 Al4 Ni2'
_cell_length_a 7.334
_cell_length_b 4.236
_cell_length_c 6.629
_cell_angle_alpha 90.00
_cell_angle_beta 111.75
_cell_angle_gamma 90.00
_symmetry_space_group_name_H-M 'C 1 2/m 1'
_symmetry_Int_Tables_number 12
_symmetry_space_group_name_Hall '-C 2y'
loop_
_atom_site_label
_atom_site_type_symbol
_atom_site_fract_x
_atom_site_fract_y
_atom_site_fract_z
Ba1 Ba 0.000 0.000 0.000
Al1 Al 0.193 0.000 0.580
Ni1 Ni 0.000 0.500 0.500
```

***

(7)
## BaAlNi2 (PBE)

Data for BaAlNi2 after structural relaxation.

- calculated formation energy (eV/atom) = 0.472
- ρ (g/cm³) = 5.90
- energy (eV/atom) = -3.835

Geometry as CIF:
```
data_BaAlNi2
_chemical_formula_sum 'Ba2 Al2 Ni4'
_cell_length_a 4.055
_cell_length_b 4.055
_cell_length_c 9.646
_cell_angle_alpha 90.00
_cell_angle_beta 90.00
_cell_angle_gamma 90.00
_symmetry_space_group_name_H-M 'I -4 m 2'
_symmetry_Int_Tables_number 119
_symmetry_space_group_name_Hall 'I -4 -2'
loop_
_atom_site_label
_atom_site_type_symbol
_atom_site_fract_x
_atom_site_fract_y
_atom_site_fract_z
Ba1 Ba 0.000 0.000 0.000
Al1 Al 0.000 0.500 0.250
Ni1 Ni 0.000 0.000 0.500
Ni2 Ni 0.000 0.500 0.750
```

***

(8)
## BaAlNi4 (PBE)

Data for BaAlNi4 after structural relaxation.

- calculated formation energy (eV/atom) = 0.102
- ρ (g/cm³) = 7.04
- energy (eV/atom) = -4.696

Geometry as CIF:
```
data_BaAlNi4
_chemical_formula_sum 'Ba4 Al4 Ni16'
_cell_length_a 7.222
_cell_length_b 7.222
_cell_length_c 7.222
_cell_angle_alpha 90.00
_cell_angle_beta 90.00
_cell_angle_gamma 90.00
_symmetry_space_group_name_H-M 'F -4 3 m'
_symmetry_Int_Tables_number 216
_symmetry_space_group_name_Hall 'F -4 2 3'
loop_
_atom_site_label
_atom_site_type_symbol
_atom_site_fract_x
_atom_site_fract_y
_atom_site_fract_z
Ba1 Ba 0.000 0.000 0.000
Al1 Al 0.250 0.250 0.250
Ni1 Ni 0.122 0.122 0.622
```

***

(9)
## BaAlNi (PBE)

Data for BaAlNi after structural relaxation.

- calculated formation energy (eV/atom) = -0.105
- ρ (g/cm³) = 4.67
- energy (eV/atom) = -3.921

Geometry as CIF:
```
data_BaAlNi
_chemical_formula_sum 'Ba1 Al1 Ni1'
_cell_length_a 4.2155
_cell_length_b 4.2155
_cell_length_c 5.1559
_cell_angle_alpha 90.00
_cell_angle_beta 90.00
_cell_angle_gamma 120.00
_symmetry_space_group_name_H-M 'P -6 m 2'
_symmetry_Int_Tables_number 187
_symmetry_space_group_name_Hall 'P -6 2'
loop_
_atom_site_label
_atom_site_type_symbol
_atom_site_fract_x
_atom_site_fract_y
_atom_site_fract_z
Ba1 Ba 0.0000 0.0000 0.0000
Al1 Al 0.3333 0.6667 0.5000
Ni1 Ni 0.6667 0.3333 0.5000
```

***

(10)
## BaAl2Ni2 (PBE)

Data for BaAl2Ni2 after structural relaxation.

- calculated formation energy (eV/atom) = -0.050
- ρ (g/cm³) = 5.65
- energy (eV/atom) = -4.244

Geometry as CIF:
```
data_BaAl2Ni2
_chemical_formula_sum 'Ba2 Al4 Ni4'
_cell_length_a 7.847
_cell_length_b 7.847
_cell_length_c 2.945
_cell_angle_alpha 90.00
_cell_angle_beta 90.00
_cell_angle_gamma 90.00
_symmetry_space_group_name_H-M 'P 4/m b m'
_symmetry_Int_Tables_number 127
_symmetry_space_group_name_Hall '-P 4 2ab'
loop_
_atom_site_label
_atom_site_type_symbol
_atom_site_fract_x
_atom_site_fract_y
_atom_site_fract_z
Ba1 Ba 0.000 0.000 0.000
Al1 Al 0.127 0.373 0.500
Ni1 Ni 0.138 0.638 0.000
```

***

(11)
## BaAlNi2 (PBE)

Data for BaAlNi2 after structural relaxation.

- calculated formation energy (eV/atom) = 0.300
- ρ (g/cm³) = 5.98
- energy (eV/atom) = -4.007

Geometry as CIF:
```
data_BaAlNi2
_chemical_formula_sum 'Ba2 Al2 Ni4'
_cell_length_a 3.072
_cell_length_b 5.055
_cell_length_c 10.067
_cell_angle_alpha 90.00
_cell_angle_beta 90.00
_cell_angle_gamma 90.00
_symmetry_space_group_name_H-M 'I m m 2'
_symmetry_Int_Tables_number 44
_symmetry_space_group_name_Hall 'I 2 -2'
loop_
_atom_site_label
_atom_site_type_symbol
_atom_site_fract_x
_atom_site_fract_y
_atom_site_fract_z
Ba1 Ba 0.000 0.000 0.000
Al1 Al 0.000 0.500 0.800
Ni1 Ni 0.000 0.000 0.499
Ni2 Ni 0.000 0.500 0.205
```

***

(12)
## BaAl2Ni (PBE)

Data for BaAl2Ni after structural relaxation.

- calculated formation energy (eV/atom) = -0.060
- ρ (g/cm³) = 4.88
- energy (eV/atom) = -3.858

Geometry as CIF:
```
data_BaAl2Ni
_chemical_formula_sum 'Ba1 Al2 Ni1'
_cell_length_a 3.321
_cell_length_b 3.321
_cell_length_c 7.717
_cell_angle_alpha 90.00
_cell_angle_beta 90.00
_cell_angle_gamma 90.00
_symmetry_space_group_name_H-M 'P 4 m m'
_symmetry_Int_Tables_number 99
_symmetry_space_group_name_Hall 'P 4 -2'
loop_
_atom_site_label
_atom_site_type_symbol
_atom_site_fract_x
_atom_site_fract_y
_atom_site_fract_z
Ba1 Ba 0.000 0.000 0.000
Al1 Al 0.000 0.000 0.441
Al2 Al 0.500 0.500 0.656
Ni1 Ni 0.500 0.500 0.332
```

***

Copy entry 11 word for word.
## BaAlNi2 (PBE)

Data for BaAlNi2 after structural relaxation.

- calculated formation energy (eV/atom) = 0.300
- ρ (g/cm³) = 5.98
- energy (eV/atom) = -4.007

Geometry as CIF:
```
data_BaAlNi2
_chemical_formula_sum 'Ba2 Al2 Ni4'
_cell_length_a 3.072
_cell_length_b 5.055
_cell_length_c 10.067
_cell_angle_alpha 90.00
_cell_angle_beta 90.00
_cell_angle_gamma 90.00
_symmetry_space_group_name_H-M 'I m m 2'
_symmetry_Int_Tables_number 44
_symmetry_space_group_name_Hall 'I 2 -2'
loop_
_atom_site_label
_atom_site_type_symbol
_atom_site_fract_x
_atom_site_fract_y
_atom_site_fract_z
Ba1 Ba 0.000 0.000 0.000
Al1 Al 0.000 0.500 0.800
Ni1 Ni 0.000 0.000 0.499
Ni2 Ni 0.000 0.500 0.205
```